Computed, not measured: an optimized crystal structure of RbHf2I at the PBE-GGA level of DFT. Values from VASP.

Summary:
**Raw formation energy**: 0.87 eV/atom
**Fermi-level density of states**: 3.84 states/eV/f.u.

```
&SYSTEM
  ibrav = 0, nat = 8, ntyp = 3
/
ATOMIC_SPECIES
Rb 85.47 Rb.upf
Hf 178.49 Hf.upf
I 126.90 I.upf
CELL_PARAMETERS angstrom
-2.407 2.407 11.610
2.407 -2.407 11.610
2.407 2.407 -11.610
ATOMIC_POSITIONS crystal
Rb 0.000 0.000 0.000
Rb 0.750 0.250 0.500
Hf 0.247 0.625 0.122
Hf 0.375 0.497 0.622
Hf 0.503 0.125 0.878
Hf 0.875 0.753 0.378
I 0.250 0.750 0.500
I 0.500 0.500 0.000
```

=====

Computed, not measured: an optimized crystal structure of Sm5HoTm5 at the PBE-GGA level of DFT. Values from VASP.

Summary:
**ΔE_f**: 0.27 eV per atom
**Fermi-level density of states**: 18.42 states/eV/f.u.

```
&SYSTEM
  ibrav = 0, nat = 11, ntyp = 3
/
ATOMIC_SPECIES
Sm 150.36 Sm.upf
Ho 164.93 Ho.upf
Tm 168.93 Tm.upf
CELL_PARAMETERS angstrom
9.402 -2.951 0.000
9.402 2.951 0.000
-2.584 0.000 6.495
ATOMIC_POSITIONS crystal
Sm 0.000 0.000 0.000
Sm 0.323 0.323 0.067
Sm 0.323 0.323 0.578
Sm 0.677 0.677 0.422
Sm 0.677 0.677 0.933
Ho 0.500 0.500 0.000
Tm 0.122 0.122 0.623
Tm 0.168 0.168 0.169
Tm 0.500 0.500 0.500
Tm 0.832 0.832 0.831
Tm 0.878 0.878 0.377
```

=====

Computed, not measured: an optimized crystal structure of TcNi2Ag at the PBE-GGA level of DFT. Values from VASP.

Summary:
**ΔE_f**: 0.53 eV per atom
**Fermi-level density of states**: 4.40 states/eV/f.u.

```
&SYSTEM
  ibrav = 0, nat = 4, ntyp = 3
/
ATOMIC_SPECIES
Tc 98.00 Tc.upf
Ni 58.69 Ni.upf
Ag 107.87 Ag.upf
CELL_PARAMETERS angstrom
2.662 0.000 0.000
0.000 4.459 0.000
0.000 0.000 4.709
ATOMIC_POSITIONS crystal
Tc 0.000 0.000 0.000
Ni 0.000 0.500 0.500
Ni 0.500 0.500 0.000
Ag 0.500 0.000 0.500
```

=====

Computed, not measured: an optimized crystal structure of Y3P2Rh9Au at the PBE-GGA level of DFT. Values from VASP.

Summary:
**ΔE_f**: -0.53 eV per atom
**Fermi-level density of states**: 14.24 states/eV/f.u.

```
&SYSTEM
  ibrav = 0, nat = 15, ntyp = 4
/
ATOMIC_SPECIES
Y 88.91 Y.upf
P 30.97 P.upf
Rh 102.91 Rh.upf
Au 196.97 Au.upf
CELL_PARAMETERS angstrom
6.032 0.000 0.000
-3.016 5.224 0.000
0.000 0.000 9.329
ATOMIC_POSITIONS crystal
Y 0.000 0.000 0.000
Y 0.333 0.667 0.714
Y 0.667 0.333 0.286
P 0.333 0.667 0.160
P 0.667 0.333 0.840
Rh 0.000 0.500 0.000
Rh 0.149 0.297 0.265
Rh 0.149 0.851 0.265
Rh 0.297 0.149 0.735
Rh 0.500 0.000 0.000
Rh 0.500 0.500 0.000
Rh 0.703 0.851 0.265
Rh 0.851 0.149 0.735
Rh 0.851 0.703 0.735
Au 0.000 0.000 0.500
```

=====

Computed, not measured: an optimized crystal structure of V2MoRuI at the PBE-GGA level of DFT. Values from VASP.

Summary:
**Raw formation energy**: 2.01 eV/atom
**Fermi-level density of states**: 6.27 states/eV/f.u.

```
&SYSTEM
  ibrav = 0, nat = 5, ntyp = 4
/
ATOMIC_SPECIES
V 50.94 V.upf
Mo 95.94 Mo.upf
Ru 101.07 Ru.upf
I 126.90 I.upf
CELL_PARAMETERS angstrom
4.668 0.000 0.000
0.000 4.668 0.000
0.000 0.000 4.670
ATOMIC_POSITIONS crystal
V 0.000 0.500 0.000
V 0.500 0.000 0.000
Mo 0.000 0.000 0.500
Ru 0.500 0.500 0.500
I 0.500 0.500 0.000
```

=====

Computed, not measured: an optimized crystal structure of Sc2Sn2Ru at the PBE-GGA level of DFT. Values from VASP.

Summary:
**ΔE_f**: -0.46 eV per atom
**Fermi-level density of states**: 2.70 states/eV/f.u.

```
&SYSTEM
  ibrav = 0, nat = 10, ntyp = 3
/
ATOMIC_SPECIES
Sc 44.96 Sc.upf
Sn 118.71 Sn.upf
Ru 101.07 Ru.upf
CELL_PARAMETERS angstrom
7.010 0.000 0.000
0.000 7.010 0.000
0.000 0.000 4.294
ATOMIC_POSITIONS crystal
Sc 0.168 0.332 0.000
Sc 0.332 0.832 0.000
Sc 0.668 0.168 0.000
Sc 0.832 0.668 0.000
Sn 0.143 0.643 0.500
Sn 0.357 0.143 0.500
Sn 0.643 0.857 0.500
Sn 0.857 0.357 0.500
Ru 0.000 0.000 0.500
Ru 0.500 0.500 0.500
```

=====

Computed, not measured: an optimized crystal structure of NdSm9In2 at the PBE-GGA level of DFT. Values from VASP.

Summary:
**ΔE_f**: -0.17 eV per atom
**Fermi-level density of states**: 14.69 states/eV/f.u.

```
&SYSTEM
  ibrav = 0, nat = 12, ntyp = 3
/
ATOMIC_SPECIES
Nd 144.24 Nd.upf
Sm 150.36 Sm.upf
In 114.82 In.upf
CELL_PARAMETERS angstrom
4.964 0.000 0.000
0.000 4.964 0.000
0.000 0.000 15.274
ATOMIC_POSITIONS crystal
Nd 0.000 0.000 0.000
Sm 0.000 0.500 0.175
Sm 0.000 0.500 0.500
Sm 0.000 0.500 0.825
Sm 0.500 0.000 0.175
Sm 0.500 0.000 0.500
Sm 0.500 0.000 0.825
Sm 0.500 0.500 0.000
Sm 0.500 0.500 0.340
Sm 0.500 0.500 0.660
In 0.000 0.000 0.339
In 0.000 0.000 0.661
```

=====

Computed, not measured: an optimized crystal structure of Sb2AsIN at the PBE-GGA level of DFT. Values from VASP.

Summary:
**Raw formation energy**: 0.88 eV/atom
**Fermi-level density of states**: 3.62 states/eV/f.u.

```
&SYSTEM
  ibrav = 0, nat = 5, ntyp = 4
/
ATOMIC_SPECIES
Sb 121.76 Sb.upf
As 74.92 As.upf
I 126.90 I.upf
N 14.01 N.upf
CELL_PARAMETERS angstrom
4.891 0.000 0.000
0.000 4.891 0.000
0.000 0.000 4.709
ATOMIC_POSITIONS crystal
Sb 0.000 0.500 0.000
Sb 0.500 0.000 0.000
As 0.000 0.000 0.500
I 0.500 0.500 0.500
N 0.500 0.500 0.000
```

=====

Computed, not measured: an optimized crystal structure of PdS2O2 at the PBE-GGA level of DFT. Values from VASP.

Summary:
**Raw formation energy**: 0.02 eV/atom
**Fermi-level density of states**: 2.60 states/eV/f.u.

```
&SYSTEM
  ibrav = 0, nat = 10, ntyp = 3
/
ATOMIC_SPECIES
Pd 106.42 Pd.upf
S 32.06 S.upf
O 16.00 O.upf
CELL_PARAMETERS angstrom
6.945 0.000 0.000
0.000 6.945 0.000
0.000 0.000 3.097
ATOMIC_POSITIONS crystal
Pd 0.000 0.000 0.000
Pd 0.500 0.500 0.000
S 0.225 0.275 0.000
S 0.275 0.775 0.000
S 0.725 0.225 0.000
S 0.775 0.725 0.000
O 0.138 0.362 0.500
O 0.362 0.862 0.500
O 0.638 0.138 0.500
O 0.862 0.638 0.500
```

=====

Computed, not measured: an optimized crystal structure of Nd10US16 at the PBE-GGA level of DFT. Values from VASP.

Summary:
**Raw formation energy**: -1.98 eV/atom
**Fermi-level density of states**: 11.63 states/eV/f.u.

```
&SYSTEM
  ibrav = 0, nat = 27, ntyp = 3
/
ATOMIC_SPECIES
Nd 144.24 Nd.upf
U 238.03 U.upf
S 32.06 S.upf
CELL_PARAMETERS angstrom
8.575 0.000 0.000
0.000 8.575 0.000
0.000 0.000 8.574
ATOMIC_POSITIONS crystal
Nd 0.000 0.500 0.246
Nd 0.131 0.255 0.620
Nd 0.255 0.869 0.380
Nd 0.257 0.619 0.855
Nd 0.381 0.257 0.145
Nd 0.500 0.000 0.754
Nd 0.619 0.743 0.145
Nd 0.743 0.381 0.855
Nd 0.745 0.131 0.380
Nd 0.869 0.745 0.620
U 0.000 0.000 0.000
S 0.064 0.318 0.944
S 0.075 0.174 0.297
S 0.169 0.578 0.540
S 0.174 0.925 0.703
S 0.316 0.579 0.181
S 0.318 0.936 0.056
S 0.421 0.316 0.819
S 0.422 0.169 0.460
S 0.578 0.831 0.460
S 0.579 0.684 0.819
S 0.682 0.064 0.056
S 0.684 0.421 0.181
S 0.826 0.075 0.703
S 0.831 0.422 0.540
S 0.925 0.826 0.297
S 0.936 0.682 0.944
```

=====

Computed, not measured: an optimized crystal structure of ScRh2I at the PBE-GGA level of DFT. Values from VASP.

Summary:
**Raw formation energy**: -0.13 eV/atom
**Fermi-level density of states**: 0.99 states/eV/f.u.

```
&SYSTEM
  ibrav = 0, nat = 4, ntyp = 3
/
ATOMIC_SPECIES
Sc 44.96 Sc.upf
Rh 102.91 Rh.upf
I 126.90 I.upf
CELL_PARAMETERS angstrom
0.000 3.296 3.296
3.296 0.000 3.296
3.296 3.296 0.000
ATOMIC_POSITIONS crystal
Sc 0.000 0.000 0.000
Rh 0.250 0.250 0.250
Rh 0.750 0.750 0.750
I 0.500 0.500 0.500
```

=====

Computed, not measured: an optimized crystal structure of Dy2YHg at the PBE-GGA level of DFT. Values from VASP.

Summary:
**ΔE_f**: -0.22 eV per atom
**Fermi-level density of states**: 4.27 states/eV/f.u.

```
&SYSTEM
  ibrav = 0, nat = 16, ntyp = 3
/
ATOMIC_SPECIES
Dy 162.50 Dy.upf
Y 88.91 Y.upf
Hg 200.59 Hg.upf
CELL_PARAMETERS angstrom
6.954 0.000 0.000
0.000 10.149 0.000
0.000 0.000 6.703
ATOMIC_POSITIONS crystal
Dy 0.196 0.042 0.188
Dy 0.196 0.458 0.188
Dy 0.304 0.542 0.688
Dy 0.304 0.958 0.688
Dy 0.696 0.042 0.312
Dy 0.696 0.458 0.312
Dy 0.804 0.542 0.812
Dy 0.804 0.958 0.812
Y 0.006 0.750 0.389
Y 0.494 0.250 0.889
Y 0.506 0.750 0.111
Y 0.994 0.250 0.611
Hg 0.089 0.750 0.946
Hg 0.411 0.250 0.446
Hg 0.589 0.750 0.554
Hg 0.911 0.250 0.054
```

=====

Computed, not measured: an optimized crystal structure of BaSmMnSe4 at the PBE-GGA level of DFT. Values from VASP.

Summary:
**Raw formation energy**: -1.40 eV/atom
**Fermi-level density of states**: 2.00 states/eV/f.u.

```
&SYSTEM
  ibrav = 0, nat = 14, ntyp = 4
/
ATOMIC_SPECIES
Ba 137.33 Ba.upf
Sm 150.36 Sm.upf
Mn 54.94 Mn.upf
Se 78.96 Se.upf
CELL_PARAMETERS angstrom
6.986 0.000 0.000
0.000 6.522 0.000
-2.730 0.000 8.569
ATOMIC_POSITIONS crystal
Ba 0.244 0.250 0.439
Ba 0.756 0.750 0.561
Sm 0.254 0.250 0.942
Sm 0.746 0.750 0.058
Mn 0.265 0.750 0.177
Mn 0.735 0.250 0.823
Se 0.072 0.750 0.908
Se 0.077 0.750 0.363
Se 0.484 0.511 0.777
Se 0.484 0.989 0.777
Se 0.516 0.011 0.223
Se 0.516 0.489 0.223
Se 0.923 0.250 0.637
Se 0.928 0.250 0.092
```

=====

Computed, not measured: an optimized crystal structure of AlTlPt2 at the PBE-GGA level of DFT. Values from VASP.

Summary:
**ΔE_f**: -0.40 eV per atom
**Fermi-level density of states**: 1.30 states/eV/f.u.

```
&SYSTEM
  ibrav = 0, nat = 4, ntyp = 3
/
ATOMIC_SPECIES
Al 26.98 Al.upf
Tl 204.38 Tl.upf
Pt 195.08 Pt.upf
CELL_PARAMETERS angstrom
3.595 -1.455 0.000
3.595 1.455 0.000
-1.333 0.000 7.157
ATOMIC_POSITIONS crystal
Al 0.000 0.000 0.000
Tl 0.500 0.500 0.500
Pt 0.257 0.257 0.799
Pt 0.743 0.743 0.201
```

=====

Computed, not measured: an optimized crystal structure of TcAgAu at the PBE-GGA level of DFT. Values from VASP.

Summary:
**ΔE_f**: 0.40 eV per atom
**Fermi-level density of states**: 3.48 states/eV/f.u.

```
&SYSTEM
  ibrav = 0, nat = 3, ntyp = 3
/
ATOMIC_SPECIES
Tc 98.00 Tc.upf
Ag 107.87 Ag.upf
Au 196.97 Au.upf
CELL_PARAMETERS angstrom
-1.373 1.373 6.618
1.373 -1.373 6.618
1.373 1.373 -6.618
ATOMIC_POSITIONS crystal
Tc 0.000 0.000 0.000
Ag 0.665 0.665 0.000
Au 0.340 0.340 0.000
```

=====

Computed, not measured: an optimized crystal structure of HoSc2Hg5 at the PBE-GGA level of DFT. Values from VASP.

Summary:
**ΔE_f**: -0.37 eV per atom
**Fermi-level density of states**: 4.03 states/eV/f.u.

```
&SYSTEM
  ibrav = 0, nat = 8, ntyp = 3
/
ATOMIC_SPECIES
Ho 164.93 Ho.upf
Sc 44.96 Sc.upf
Hg 200.59 Hg.upf
CELL_PARAMETERS angstrom
-2.504 2.504 7.230
2.504 -2.504 7.230
2.504 2.504 -7.230
ATOMIC_POSITIONS crystal
Ho 0.000 0.000 0.000
Sc 0.261 0.261 0.000
Sc 0.739 0.739 0.000
Hg 0.132 0.632 0.500
Hg 0.368 0.868 0.500
Hg 0.500 0.500 0.000
Hg 0.632 0.132 0.500
Hg 0.868 0.368 0.500
```